# 1
{
  "formula": "Zr3Sc5H12",
  "functional": "GGA-PBE",
  "state": "optimized geometry",
  "lattice": [[-5.9681, 5.9681, 5.9681], [5.9681, -5.9681, 5.9681], [5.9681, 5.9681, -5.9681]],
  "species": ["Zr", "Zr", "Zr", "Zr", "Zr", "Zr", "Zr", "Zr", "Zr", "Zr", "Zr", "Zr", "Sc", "Sc", "Sc", "Sc", "Sc", "Sc", "Sc", "Sc", "Sc", "Sc", "Sc", "Sc", "Sc", "Sc", "Sc", "Sc", "Sc", "Sc", "Sc", "Sc", "H", "H", "H", "H", "H", "H", "H", "H", "H", "H", "H", "H", "H", "H", "H", "H", "H", "H", "H", "H", "H", "H", "H", "H", "H", "H", "H", "H", "H", "H", "H", "H", "H", "H", "H", "H", "H", "H", "H", "H", "H", "H", "H", "H", "H", "H", "H", "H"],
  "frac_coords": [[0.1250, 0.2500, 0.3750], [0.1250, 0.3750, 0.7500], [0.2500, 0.3750, 0.1250], [0.2500, 0.8750, 0.6250], [0.3750, 0.1250, 0.2500], [0.3750, 0.7500, 0.1250], [0.6250, 0.2500, 0.8750], [0.6250, 0.8750, 0.7500], [0.7500, 0.1250, 0.3750], [0.7500, 0.6250, 0.8750], [0.8750, 0.6250, 0.2500], [0.8750, 0.7500, 0.6250], [0.0000, 0.0000, 0.0000], [0.0000, 0.0000, 0.5000], [0.0000, 0.5000, 0.0000], [0.0000, 0.5000, 0.5000], [0.1250, 0.7500, 0.8750], [0.1250, 0.8750, 0.2500], [0.2500, 0.1250, 0.8750], [0.2500, 0.6250, 0.3750], [0.3750, 0.2500, 0.6250], [0.3750, 0.6250, 0.7500], [0.5000, 0.0000, 0.0000], [0.5000, 0.0000, 0.5000], [0.5000, 0.5000, 0.0000], [0.5000, 0.5000, 0.5000], [0.6250, 0.3750, 0.2500], [0.6250, 0.7500, 0.3750], [0.7500, 0.3750, 0.6250], [0.7500, 0.8750, 0.1250], [0.8750, 0.1250, 0.7500], [0.8750, 0.2500, 0.1250], [0.0653, 0.2248, 0.1502], [0.0653, 0.3404, 0.9151], [0.0746, 0.7248, 0.6596], [0.0746, 0.8498, 0.4151], [0.0849, 0.6502, 0.4254], [0.0849, 0.9347, 0.6596], [0.1502, 0.0653, 0.2248], [0.1502, 0.5849, 0.9254], [0.1596, 0.2248, 0.5746], [0.1596, 0.4347, 0.5849], [0.2248, 0.1502, 0.0653], [0.2248, 0.5746, 0.1596], [0.2752, 0.3404, 0.9254], [0.2752, 0.4347, 0.3498], [0.3404, 0.9151, 0.0653], [0.3404, 0.9254, 0.2752], [0.3498, 0.2752, 0.4347], [0.3498, 0.5746, 0.9151], [0.4151, 0.0746, 0.8498], [0.4151, 0.8404, 0.5653], [0.4254, 0.0849, 0.6502], [0.4254, 0.8404, 0.7752], [0.4347, 0.3498, 0.2752], [0.4347, 0.5849, 0.1596], [0.5653, 0.4151, 0.8404], [0.5653, 0.6502, 0.7248], [0.5746, 0.1596, 0.2248], [0.5746, 0.9151, 0.3498], [0.5849, 0.1596, 0.4347], [0.5849, 0.9254, 0.1502], [0.6502, 0.4254, 0.0849], [0.6502, 0.7248, 0.5653], [0.6596, 0.0746, 0.7248], [0.6596, 0.0849, 0.9347], [0.7248, 0.5653, 0.6502], [0.7248, 0.6596, 0.0746], [0.7752, 0.4254, 0.8404], [0.7752, 0.8498, 0.9347], [0.8404, 0.5653, 0.4151], [0.8404, 0.7752, 0.4254], [0.8498, 0.4151, 0.0746], [0.8498, 0.9347, 0.7752], [0.9151, 0.0653, 0.3404], [0.9151, 0.3498, 0.5746], [0.9254, 0.1502, 0.5849], [0.9254, 0.2752, 0.3404], [0.9347, 0.6596, 0.0849], [0.9347, 0.7752, 0.8498]],
  "sg": "Ia-3d (230)"
}


# 2
{
  "formula": "ZrSc3H",
  "functional": "GGA-PBE",
  "state": "optimized geometry",
  "lattice": [[4.5449, 0.0000, 0.0000], [0.0000, 4.5449, 0.0000], [0.0000, 0.0000, 4.5449]],
  "species": ["Zr", "Sc", "Sc", "Sc", "H"],
  "frac_coords": [[0.0000, 0.0000, 0.0000], [0.0000, 0.5000, 0.5000], [0.5000, 0.0000, 0.5000], [0.5000, 0.5000, 0.0000], [0.5000, 0.5000, 0.5000]],
  "sg": "Pm-3m (221)",
  "relative_energy_ev_per_fu": 0.00
}


# 3
{
  "formula": "HSe",
  "functional": "GGA-PBE",
  "state": "optimized geometry",
  "lattice": [[3.0586, 0.0000, 0.0000], [0.0000, 3.3171, 0.0000], [0.0000, 0.0000, 7.6462]],
  "species": ["H", "H", "Se", "Se"],
  "frac_coords": [[0.0000, 0.0000, 0.0493], [0.0000, 0.0000, 0.9507], [0.5000, 0.5000, 0.3548], [0.5000, 0.5000, 0.6452]],
  "sg": "Pmmm (47)",
  "relative_energy_ev_per_fu": 0.13
}


# 4
{
  "formula": "HSe",
  "functional": "GGA-PBE",
  "state": "optimized geometry",
  "lattice": [[0.0000, 4.6836, 6.4248], [2.2972, 0.0000, 6.4248], [2.2972, 4.6836, 0.0000]],
  "species": ["H", "H", "H", "H", "Se", "Se", "Se", "Se"],
  "frac_coords": [[0.0976, 0.6524, 0.0976], [0.3476, 0.9024, 0.3476], [0.6524, 0.0976, 0.6524], [0.9024, 0.3476, 0.9024], [0.2294, 0.2294, 0.5206], [0.4794, 0.4794, 0.7706], [0.5206, 0.5206, 0.2294], [0.7706, 0.7706, 0.4794]],
  "sg": "Fddd (70)",
  "relative_energy_ev_per_fu": 0.27
}


# 5
{
  "formula": "HSe",
  "functional": "GGA-PBE",
  "state": "optimized geometry",
  "lattice": [[-3.5464, 3.5464, 3.5464], [3.5464, -3.5464, 3.5464], [3.5464, 3.5464, -3.5464]],
  "species": ["H", "H", "H", "H", "Se", "Se", "Se", "Se"],
  "frac_coords": [[0.0000, 0.0000, 0.5564], [0.0000, 0.5564, 0.0000], [0.4436, 0.4436, 0.4436], [0.5564, 0.0000, 0.0000], [0.0000, 0.0000, 0.3110], [0.0000, 0.3110, 0.0000], [0.3110, 0.0000, 0.0000], [0.6890, 0.6890, 0.6890]],
  "sg": "I-43m (217)",
  "relative_energy_ev_per_fu": 1.01
}


# 6
{
  "formula": "HSe",
  "functional": "GGA-PBE",
  "state": "optimized geometry",
  "lattice": [[4.2445, 0.0000, 0.0000], [0.5380, 4.6533, 0.0000], [1.1471, 1.9196, 4.3099]],
  "species": ["H", "H", "Se", "Se"],
  "frac_coords": [[0.2273, 0.1208, 0.1964], [0.7727, 0.8792, 0.8036], [0.4356, 0.2732, 0.3014], [0.5644, 0.7268, 0.6986]],
  "sg": "P-1 (2)",
  "relative_energy_ev_per_fu": 0.07
}


# 7
{
  "formula": "HSe",
  "functional": "GGA-PBE",
  "state": "optimized geometry",
  "lattice": [[0.0000, 2.3567, 2.3567], [2.3567, 0.0000, 2.3567], [2.3567, 2.3567, 0.0000]],
  "species": ["H", "Se"],
  "frac_coords": [[0.0000, 0.0000, 0.0000], [0.7500, 0.7500, 0.7500]],
  "sg": "F-43m (216)",
  "relative_energy_ev_per_fu": 1.41
}


# 8
{
  "formula": "HSe",
  "functional": "GGA-PBE",
  "state": "optimized geometry",
  "lattice": [[-5.4316, 5.4316, 1.3329], [5.4316, -5.4316, 1.3329], [5.4316, 5.4316, -1.3329]],
  "species": ["H", "H", "H", "H", "Se", "Se", "Se", "Se"],
  "frac_coords": [[0.1150, 0.3422, 0.4572], [0.3422, 0.8850, 0.2272], [0.6578, 0.1150, 0.7728], [0.8850, 0.6578, 0.5428], [0.0226, 0.2393, 0.2620], [0.2393, 0.9774, 0.2167], [0.7607, 0.0226, 0.7833], [0.9774, 0.7607, 0.7380]],
  "sg": "I4/m (87)",
  "relative_energy_ev_per_fu": 0.21
}


# 9
{
  "formula": "H3Se2",
  "functional": "GGA-PBE",
  "state": "optimized geometry",
  "lattice": [[4.3660, 0.0000, 0.0000], [-0.0622, 7.3585, 0.0000], [-0.0195, -2.8423, 6.8214]],
  "species": ["H", "H", "H", "H", "H", "H", "Se", "Se", "Se", "Se"],
  "frac_coords": [[0.0697, 0.4168, 0.2937], [0.3412, 0.7737, 0.2863], [0.3489, 0.7179, 0.6722], [0.6511, 0.2821, 0.3278], [0.6588, 0.2263, 0.7137], [0.9303, 0.5832, 0.7063], [0.2203, 0.6420, 0.8199], [0.3984, 0.1688, 0.5729], [0.6016, 0.8312, 0.4271], [0.7797, 0.3580, 0.1801]],
  "sg": "P-1 (2)"
}


# 10
{
  "formula": "HSe",
  "functional": "GGA-PBE",
  "state": "optimized geometry",
  "lattice": [[5.1280, 0.0000, 0.0000], [0.0000, 7.8738, 0.0000], [0.0000, 0.0000, 8.0535]],
  "species": ["H", "H", "H", "H", "H", "H", "H", "H", "Se", "Se", "Se", "Se", "Se", "Se", "Se", "Se"],
  "frac_coords": [[0.0647, 0.0167, 0.4708], [0.1482, 0.6864, 0.3877], [0.3518, 0.3136, 0.8877], [0.4353, 0.9833, 0.9708], [0.5647, 0.4833, 0.5292], [0.6482, 0.8136, 0.6123], [0.8518, 0.1864, 0.1123], [0.9353, 0.5167, 0.0292], [0.1042, 0.4969, 0.3974], [0.1978, 0.0037, 0.8630], [0.3022, 0.9963, 0.3630], [0.3958, 0.5031, 0.8974], [0.6042, 0.0031, 0.6026], [0.6978, 0.4963, 0.1369], [0.8022, 0.5037, 0.6370], [0.8958, 0.9969, 0.1026]],
  "sg": "P2_12_12_1 (19)",
  "relative_energy_ev_per_fu": 0.00
}


# 11
{
  "formula": "HSe4",
  "functional": "GGA-PBE",
  "state": "optimized geometry",
  "lattice": [[4.3965, 0.0000, 0.0000], [0.0000, 4.3965, 0.0000], [0.0000, 0.0000, 4.3965]],
  "species": ["H", "Se", "Se", "Se", "Se"],
  "frac_coords": [[0.0000, 0.0000, 0.0000], [0.0000, 0.0000, 0.5000], [0.0000, 0.5000, 0.0000], [0.5000, 0.0000, 0.0000], [0.5000, 0.5000, 0.5000]],
  "sg": "Pm-3m (221)"
}


# 12
{
  "formula": "HSe",
  "functional": "GGA-PBE",
  "state": "optimized geometry",
  "lattice": [[1.9850, -3.7864, 0.0000], [1.9850, 3.7864, 0.0000], [0.0000, 0.0000, 4.6021]],
  "species": ["H", "H", "Se", "Se"],
  "frac_coords": [[0.0706, 0.9294, 0.7500], [0.9294, 0.0706, 0.2500], [0.2666, 0.7334, 0.7500], [0.7334, 0.2666, 0.2500]],
  "sg": "Cmcm (63)",
  "relative_energy_ev_per_fu": 0.30
}


Number 1: total energy -5.354 eV/atom, Fermi-level density of states 12.4 states/eV/f.u.. Number 2: total energy -6.331 eV/atom, Fermi-level density of states 4.7 states/eV/f.u.. Number 3: total energy -3.333 eV/atom, Fermi-level density of states 0.5 states/eV/f.u.. Number 4: total energy -3.264 eV/atom, Fermi-level density of states 0.3 states/eV/f.u.. Number 5: total energy -2.895 eV/atom, Fermi-level density of states 1.8 states/eV/f.u.. Number 6: total energy -3.363 eV/atom, Fermi-level density of states 0.0 states/eV/f.u.. Number 7: total energy -2.690 eV/atom, Fermi-level density of states 1.6 states/eV/f.u.. Number 8: total energy -3.290 eV/atom, Fermi-level density of states 1.1 states/eV/f.u.. Number 9: total energy -3.389 eV/atom, Fermi-level density of states 0.0 states/eV/f.u.. Number 10: total energy -3.397 eV/atom, Fermi-level density of states 0.0 states/eV/f.u.. Number 11: total energy -2.628 eV/atom, Fermi-level density of states 4.8 states/eV/f.u.. Number 12: total energy -3.247 eV/atom, Fermi-level density of states 1.0 states/eV/f.u..